A plane-wave DFT calculation with PBE was carried out for Mg2Fe2Ir after structural relaxation.

Raw total energy in eV per atom: -5.65
Formation enthalpy at 0 K in meV per atom: 147
Polymorph energy (0 for the lowest one) in meV/atom: 0.0
Size of the total moment in μB/f.u.: 0.89
Density of states at the Fermi level in states/eV per atom: 1.15

abc: 6.0214 6.0214 4.1941
angles: 90.00 90.00 90.00
Closest atoms and distances in Å follow each position.
Space group P4/mbm (No. 127)
One atom of each set of equivalent atoms:
Mg  0.1810  0.3190  0.0000 x4  6 Fe 2.69-2.80
Fe  0.1208  0.6208  0.5000 x4  1 Fe 2.06
Ir  0.0000  0.0000  0.5000 x2  4 Fe 2.40